[1]
## RbAgRhCl6 (PBE)

Data for a relaxed structure of RbAgRhCl6.

Computed properties:
Magnetic moment, Bohr magnetons per cell: 1.1
Formation energy (no corrections), eV/f.u.: -7.39
Calculated volume, A^3/atom: 30.61

```
RbAgRhCl6
1.0
-4.335 1.617 -4.804
0.900 -2.270 -6.207
-3.887 -5.797 1.556
Cl Rb Ag Rh
6 1 1 1
Direct
0.348 0.615 0.311
0.615 0.348 0.689
0.037 0.348 0.311
0.037 0.615 0.689
0.348 0.037 0.689
0.615 0.037 0.311
0.000 0.000 0.000
0.667 0.667 0.500
0.333 0.333 0.500
```

***

[2]
## SrDyGe2Pd5 (PBE)

Data for a relaxed structure of SrDyGe2Pd5.

Computed properties:
Magnetic moment, Bohr magnetons per cell: 0.0
Calculated volume, A^3/atom: 19.05
Energy of formation from the pure elements, eV per atom: -0.67

```
SrDyGe2Pd5
1.0
4.389 0.000 0.000
0.000 4.389 0.000
0.000 0.000 8.901
Pd Ge Sr Dy
5 2 1 1
Direct
0.500 0.000 0.262
0.000 0.500 0.262
0.000 0.500 0.738
0.500 0.500 0.500
0.500 0.000 0.738
0.500 0.500 0.139
0.500 0.500 0.861
0.000 0.000 0.500
0.000 0.000 0.000
```